First-principles (PBE-GGA) data for K2Li3NpF12 after structural relaxation, as listed in Alexandria.

Computed properties:
The calculation puts the density at 3.9 g/cm³. As for the crystal system: trigonal.

a b c (Å): 6.9579 6.9579 6.9579
angles (deg): 59.92 59.92 59.92
Fractional positions:
K1 0.0962 0.0962 0.0962
K2 0.9038 0.9038 0.9038
Li1 0.0000 0.5000 0.5000
Li2 0.5000 0.0000 0.5000
Li3 0.5000 0.5000 0.0000
Np1 0.5000 0.5000 0.5000
F1 0.1244 0.6355 0.6355
F2 0.2475 0.2475 0.6239
F3 0.2475 0.6239 0.2475
F4 0.3644 0.3644 0.8756
F5 0.3644 0.8756 0.3644
F6 0.3761 0.7525 0.7525
F7 0.6239 0.2475 0.2475
F8 0.6355 0.1244 0.6355
F9 0.6355 0.6356 0.1244
F10 0.7525 0.3761 0.7525
F11 0.7525 0.7525 0.3761
F12 0.8756 0.3644 0.3644

First-principles (PBE-GGA) data for La4SnSb2I after structural relaxation, as listed in Alexandria.

Computed properties:
The calculation puts the density at 6.2 g/cm³. As for the crystal system: monoclinic.

a b c (Å): 7.9976 4.6447 8.0149
angles (deg): 90.00 109.31 90.00
Fractional positions:
La1 0.2346 0.0000 0.2369
La2 0.2434 0.5000 0.7540
La3 0.7566 0.5000 0.2460
La4 0.7654 0.0000 0.7631
Sn1 0.0000 0.0000 0.5000
Sb1 0.0000 0.5000 0.0000
Sb2 0.5000 0.0000 0.0000
I1 0.5000 0.5000 0.5000

no.,total DFT energy (no corrections) (eV per atom)
1,-5.06
2,-5.33